# Sc2VCoO6 (GGA+U, relaxed)
data_Sc2VCoO6
_chemical_formula_sum 'Sc6 V3 Co3 O18'
_space_group_name_H-M_alt 'R 3'
_space_group_IT_number 146
_space_group_name_Hall 'R 3'
_cell_length_a 5.1775
_cell_length_b 5.1775
_cell_length_c 13.8354
_cell_angle_alpha 90.00
_cell_angle_beta 90.00
_cell_angle_gamma 120.00
loop_
_atom_site_label
_atom_site_type_symbol
_atom_site_fract_x
_atom_site_fract_y
_atom_site_fract_z
Sc1 Sc 0.0000 0.0000 0.0000
Sc2 Sc 0.0000 0.0000 0.4973
V1 V 0.0000 0.0000 0.2094
Co1 Co 0.0000 0.0000 0.7035
O1 O 0.0468 0.6983 0.7771
O2 O 0.0518 0.3602 0.2800
# Raw total energy ... -7.9628 eV/atom